(1)
This record from Alexandria via LeMat-Bulk describes a relaxed LiTaAg crystal. The functional is PBEsol.

Output
DOS at the Fermi energy: 1.639 states/eV/f.u.
Calculated density: 9.81 Mg/m³
E: -5.713 eV/atom
Spin magnetization: 0.00 μB per cell
Calculated formation energy: 0.230 eV/atom
Calculated volume: 16.7 Å³/atom
Excess energy over the best structure of this formula in the dataset: 0 meV per atom

Cell lengths 7.616, 7.444, 2.710 Å; angles 83.22, 76.08, 20.69 degrees
Element x y z (fractional)
Li  0.000  0.000  0.000
Ta  0.325  0.325  0.675
Ag  0.657  0.657  0.343

---

(2)
This record from Alexandria via LeMat-Bulk describes a relaxed LiTaAg crystal. The functional is PBEsol.

Output
DOS at the Fermi energy: 5.006 states/eV/f.u.
Calculated density: 8.80 Mg/m³
E: -4.982 eV/atom
Spin magnetization: 0.00 μB per cell
Calculated formation energy: 0.961 eV/atom
Calculated volume: 18.6 Å³/atom
Excess energy over the best structure of this formula in the dataset: 730 meV per atom

Cell lengths 4.289, 4.289, 4.289 Å; angles 60.00, 60.00, 60.00 degrees
Element x y z (fractional)
Li  0.000  0.000  0.000
Ta  0.500  0.500  0.500
Ag  0.250  0.250  0.250

---

(3)
This record from Alexandria via LeMat-Bulk describes a relaxed LiTaAg crystal. The functional is PBEsol.

Output
DOS at the Fermi energy: 1.046 states/eV/f.u.
Calculated density: 10.47 Mg/m³
E: -5.607 eV/atom
Spin magnetization: 0.00 μB per cell
Calculated formation energy: 0.336 eV/atom
Calculated volume: 15.6 Å³/atom
Excess energy over the best structure of this formula in the dataset: 106 meV per atom

Cell lengths 4.516, 4.516, 2.656 Å; angles 90.00, 90.00, 120.00 degrees
Element x y z (fractional)
Li  0.000  0.000  0.000
Ta  0.333  0.667  0.499
Ag  0.667  0.333  0.998

---

(4)
This record from Alexandria via LeMat-Bulk describes a relaxed LiTc2Ag crystal. The functional is PBEsol.

Output
DOS at the Fermi energy: 2.307 states/eV/f.u.
Calculated density: 9.20 Mg/m³
E: -6.619 eV/atom
Spin magnetization: 0.00 μB per cell
Calculated formation energy: 0.333 eV/atom
Calculated volume: 14.0 Å³/atom
Excess energy over the best structure of this formula in the dataset: 30 meV per atom

Cell lengths 5.162, 5.162, 5.162 Å; angles 140.10, 140.10, 57.70 degrees
Element x y z (fractional)
Li  0.000  0.000  0.000
Tc  0.250  0.750  0.500
Tc  0.750  0.250  0.500
Ag  0.500  0.500  0.000

---

(5)
This record from Alexandria via LeMat-Bulk describes a relaxed LiTc2Ag crystal. The functional is PBEsol.

Output
DOS at the Fermi energy: 3.016 states/eV/f.u.
Calculated density: 8.93 Mg/m³
E: -6.649 eV/atom
Spin magnetization: 0.00 μB per cell
Calculated formation energy: 0.304 eV/atom
Calculated volume: 14.5 Å³/atom
Excess energy over the best structure of this formula in the dataset: 0 meV per atom

Cell lengths 4.531, 4.531, 5.164 Å; angles 93.42, 93.42, 33.12 degrees
Element x y z (fractional)
Li  0.000  0.000  0.000
Tc  0.246  0.246  0.705
Tc  0.486  0.486  0.521
Ag  0.749  0.749  0.198

---

(6)
This record from Alexandria via LeMat-Bulk describes a relaxed LiTc2Ag crystal. The functional is PBEsol.

Output
DOS at the Fermi energy: 1.985 states/eV/f.u.
Calculated density: 9.14 Mg/m³
E: -6.373 eV/atom
Spin magnetization: 0.00 μB per cell
Calculated formation energy: 0.580 eV/atom
Calculated volume: 14.1 Å³/atom
Excess energy over the best structure of this formula in the dataset: 276 meV per atom

Cell lengths 3.288, 3.288, 5.219 Å; angles 90.00, 90.00, 90.00 degrees
Element x y z (fractional)
Li  0.000  0.000  0.000
Tc  0.500  0.500  0.206
Tc  0.500  0.500  0.794
Ag  0.000  0.000  0.500